DFT (PBE with a Hubbard U) results for crystalline HfNbFeO6 at its relaxed geometry.

Calculated density: 6.55 g/cm3
VASP energy: -77.445 eV/f.u.

a b c (Å): 4.8162 4.8162 9.2468
angles (deg): 90.00 90.00 90.00
With the nearest neighbours (Å) after each atom.
Space group P4_2nm (No. 102)
Unique sites:
Hf  0.0000  0.0000  0.0000  6 O 2.06-2.11
Nb  0.0000  0.0000  0.6663  6 O 1.96-2.06
Fe  0.0000  0.0000  0.3308  6 O 1.99-2.09
O  0.1900  0.1900  0.4944  1 Fe 1.99, 1 Nb 2.05, 1 Hf 2.11
O  0.1930  0.1930  0.8231  1 Nb 1.96, 1 Fe 2.09, 1 Hf 2.10
O  0.1977  0.1977  0.1679  1 Fe 2.02, 1 Hf 2.06, 1 Nb 2.06